Entry 1:
# Rb4Ac3ThTe8 | Alexandria via LeMat-Bulk | PBE-GGA | optimized geometry
data_Rb4Ac3ThTe8
_chemical_formula_sum 'Rb12 Ac9 Th3 Te24'
_cell_length_a 9.5828
_cell_length_b 9.5828
_cell_length_c 25.8463
_cell_angle_alpha 90.00
_cell_angle_beta 90.00
_cell_angle_gamma 120.00
_symmetry_space_group_name_H-M 'R -3 m'
_symmetry_Int_Tables_number 166
_symmetry_space_group_name_Hall '-R 3 2"'
loop_
_atom_site_label
_atom_site_type_symbol
_atom_site_fract_x
_atom_site_fract_y
_atom_site_fract_z
Rb1 Rb 0.0000 0.0000 0.0000
Rb2 Rb 0.0000 0.5000 0.0000
Ac1 Ac 0.0000 0.5000 0.5000
Th1 Th 0.0000 0.0000 0.5000
Te1 Te 0.0000 0.0000 0.2391
Te2 Te 0.0151 0.5076 0.2367
# DOS at the Fermi energy = 17.581 states/eV/cell
# Raw formation energy = -1.40 eV per atom
# Calculated density = 5.515 g cm⁻³
# M_tot = 0.00 μB/cell


Entry 2:
# LaPm6Er12 | Alexandria via LeMat-Bulk | PBE-GGA | optimized geometry
data_LaPm6Er12
_chemical_formula_sum 'La3 Pm18 Er36'
_cell_length_a 15.5427
_cell_length_b 15.5427
_cell_length_c 8.7319
_cell_angle_alpha 90.00
_cell_angle_beta 90.00
_cell_angle_gamma 120.00
_symmetry_space_group_name_H-M 'R -3'
_symmetry_Int_Tables_number 148
_symmetry_space_group_name_Hall '-R 3'
loop_
_atom_site_label
_atom_site_type_symbol
_atom_site_fract_x
_atom_site_fract_y
_atom_site_fract_z
La1 La 0.0000 0.0000 0.0000
Pm1 Pm 0.0352 0.2795 0.3340
Er1 Er 0.0178 0.1406 0.6657
Er2 Er 0.0698 0.5610 0.6666
# DOS at the Fermi energy = 78.221 states/eV/cell
# Calculated density = 8.225 g cm⁻³
# Energy of formation = 0.023 eV per atom
# M_tot = 0.00 μB/cell